VASP calculation (PBE) on AgBi4Cl2 after structural relaxation.

The calculation puts the uncorrected formation energy at 0.2403 eV/atom.

The structure belongs to space group I4/mmm (No. 139); the cell edges are 5.516, 5.516 and 14.803 Å and the angles 90.00°, 90.00° and 90.00°. The distinct sites, in fractional coordinates, are Ag at (0.000, 0.000, 0.000), Bi at (0.000, 0.000, 0.204), Bi at (0.000, 0.500, 0.000) and Cl at (0.000, 0.000, 0.398).